Computed, not measured: an optimized crystal structure of Rh2PbCl at the PBEsol level of DFT.

Results
Excess energy over the best structure of this formula in the dataset, meV per atom: 189.2
Raw total energy, eV per atom: -5.3075

Structure (POSCAR):
```
Rh2PbCl
1.0
-1.985 -2.093 1.193
3.474 -2.365 1.630
0.508 3.833 3.488
Cl Pb Rh
1 1 2
direct
0.488 0.576 0.976 Cl
0.732 0.214 0.464 Pb
0.009 0.981 0.017 Rh
0.271 0.729 0.543 Rh
```